DFT (PBE-GGA) results for crystalline Pu5PaPt6 at its relaxed geometry.

Structure (CIF):
```
data_Pu5PaPt6
_symmetry_space_group_name_H-M 'P 1'
_symmetry_Int_Tables_number 1
_cell_length_a 4.9857
_cell_length_b 7.0499
_cell_length_c 8.6028
_cell_angle_alpha 114.19
_cell_angle_beta 106.84
_cell_angle_gamma 90.00
loop_
_symmetry_equiv_pos_as_xyz
'x,y,z'
loop_
_atom_site_label
_atom_site_fract_x
_atom_site_fract_y
_atom_site_fract_z
Pt1 0.5000 0.7827 0.0000
Pt2 0.8423 0.0765 0.6847
Pu1 0.6829 0.1829 0.3658
Pt3 0.5000 0.2173 0.0000
Pu2 0.3415 0.3415 0.6830
Pu3 0.6585 0.6585 0.3170
Pu4 0.3171 0.8171 0.6342
Pt4 0.8424 0.6082 0.6847
Pt5 0.1576 0.3918 0.3153
Pu5 0.0000 0.5000 0.0000
Pt6 0.1577 0.9235 0.3153
Pa1 0.0000 0.0000 0.0000
```

Properties
- total magnetic moment (Bohr magnetons per cell) = 5.350
- crystal system = orthorhombic
- calculated formation energy (kcal/mol of atoms) = -16.8
- offset from the most stable computed form (meV/atom) = 0